No. 1
Entry from Alexandria: crystalline NaOsF5 at its relaxed geometry (GGA-PBE).

Lattice parameters (Å, degrees): 5.733 5.733 7.930 96.02 113.85 107.19
Site moments in Bohr magnetons follow the coordinates.
Element x y z (fractional)
Na  0.727  0.477  0.250  0.00
Na  0.273  0.523  0.750  0.00
Os  0.000  0.000  0.000  1.52
Os  0.500  0.000  0.500  1.52
F  0.867  0.199  0.120  0.13
F  0.167  0.730  0.473  0.04
F  0.421  0.253  0.620  0.13
F  0.345  0.095  0.250  0.03
F  0.757  0.694  0.027  0.04
F  0.243  0.306  0.973  0.04
F  0.655  0.905  0.750  0.03
F  0.579  0.747  0.380  0.13
F  0.833  0.270  0.527  0.04
F  0.133  0.801  0.880  0.13

- Formation energy from raw total energies: -1336 kJ/mol of formula units
- N(E_F): 6.27 states/eV/cell
- V: 15.718 A^3/atom

---

No. 2
Entry from Alexandria: crystalline NaOs2F at its relaxed geometry (GGA-PBE).

Lattice parameters (Å, degrees): 4.435 4.435 4.435 60.00 60.00 60.00
Site moments in Bohr magnetons follow the coordinates.
Element x y z (fractional)
Na  0.500  0.500  0.500  0.00
Os  0.250  0.250  0.250  1.89
Os  0.750  0.750  0.750  1.89
F  0.000  0.000  0.000  0.15

- Formation energy from raw total energies: 684 kJ/mol of formula units
- N(E_F): 3.67 states/eV/cell
- V: 15.416 A^3/atom
- Excess energy over the best structure of this formula in the dataset: 1662 meV per atom

---

No. 3
Entry from Alexandria: crystalline NaOsPdF2 at its relaxed geometry (GGA-PBE).

Lattice parameters (Å, degrees): 4.381 5.084 4.381 90.00 90.00 90.00
Site moments in Bohr magnetons follow the coordinates.
Element x y z (fractional)
Na  0.500  0.500  0.500  -0.01
Os  0.000  0.500  0.000  2.61
Pd  0.000  0.000  0.000  0.27
F  0.000  0.000  0.500  0.03
F  0.500  0.000  0.000  0.02

- Formation energy from raw total energies: 68 kJ/mol of formula units
- N(E_F): 3.75 states/eV/cell
- V: 19.512 A^3/atom